The following is a DFT calculation (PBE) of a relaxed TbDy6Er3Sc2 crystal.

The space group is C2/m (No. 12) and the conventional cell measures 6.0512, 10.4690 and 11.5345 Å, with angles of 90.00, 100.03 and 90.00 degrees. Symmetry generates all atoms from Tb at (0.0000, 0.0000, 0.0000), Dy at (0.2466, 0.5000, 0.2459), Dy at (0.2503, 0.1678, 0.2459), Er at (0.0000, 0.1670, 0.5000), Er at (0.0000, 0.5000, 0.5000) and Sc at (0.0000, 0.3333, 0.0000).

For the formation energy, the calculation gives 0.036 eV/atom. For the energy, the calculation gives -0.1781 hartree per atom.